Tm2Ga4Ir3Rh | GGA-PBE | optimized geometry

POSCAR file:
```
Tm2Ga4Ir3Rh
1.0
4.180 0.000 0.000
0.000 4.180 0.000
0.000 0.000 10.344
Tm Ga Ir Rh
2 4 3 1
Direct
0.000 0.500 0.234
0.500 0.000 0.766
0.000 0.000 0.500
0.000 0.500 0.872
0.500 0.000 0.128
0.500 0.500 0.500
0.000 0.000 0.000
0.000 0.500 0.637
0.500 0.000 0.363
0.500 0.500 0.000
```

## Properties
* crystal system: tetragonal

=====

YGa4Ir2Rh | GGA-PBE | optimized geometry

POSCAR file:
```
YGa4Ir2Rh
1.0
2.126 1.227 8.527
-2.126 1.227 8.527
0.000 -2.455 8.527
Y Ga Ir Rh
1 4 2 1
Direct
0.000 0.000 0.000
0.131 0.131 0.131
0.398 0.398 0.398
0.602 0.602 0.602
0.869 0.869 0.869
0.238 0.238 0.238
0.762 0.762 0.762
0.500 0.500 0.500
```

## Properties
* crystal system: trigonal

=====

Y2GaIr2Rh5 | GGA-PBE | optimized geometry

POSCAR file:
```
Y2GaIr2Rh5
1.0
9.384 0.000 0.000
0.000 9.384 0.000
0.000 0.000 3.951
Y Ga Ir Rh
4 2 4 10
Direct
0.166 0.334 0.000
0.334 0.834 0.000
0.666 0.166 0.000
0.834 0.666 0.000
0.000 0.000 0.000
0.500 0.500 0.000
0.133 0.633 0.000
0.367 0.133 0.000
0.633 0.867 0.000
0.867 0.367 0.000
0.000 0.500 0.500
0.066 0.805 0.500
0.195 0.066 0.500
0.305 0.566 0.500
0.434 0.305 0.500
0.500 0.000 0.500
0.566 0.695 0.500
0.695 0.434 0.500
0.805 0.934 0.500
0.934 0.195 0.500
```

## Properties
* crystal system: tetragonal

=====

YGa4IrRh2 | GGA-PBE | optimized geometry

POSCAR file:
```
YGa4IrRh2
1.0
2.119 1.223 8.607
-2.119 1.223 8.607
0.000 -2.447 8.607
Y Ga Ir Rh
1 4 1 2
Direct
0.000 0.000 0.000
0.131 0.131 0.131
0.398 0.398 0.398
0.602 0.602 0.602
0.869 0.869 0.869
0.500 0.500 0.500
0.237 0.237 0.237
0.763 0.763 0.763
```

## Properties
* crystal system: trigonal

=====

YGa2IrRh | GGA-PBE | optimized geometry

POSCAR file:
```
YGa2IrRh
1.0
4.249 0.000 0.000
0.000 4.249 0.000
0.000 0.000 10.019
Y Ga Ir Rh
2 4 2 2
Direct
0.000 0.000 0.000
0.500 0.500 0.500
0.000 0.000 0.376
0.000 0.000 0.624
0.500 0.500 0.124
0.500 0.500 0.876
0.000 0.500 0.750
0.500 0.000 0.250
0.000 0.500 0.250
0.500 0.000 0.750
```

## Properties
* crystal system: tetragonal

=====

Zn3Ga3Ir2Rh | GGA-PBE | optimized geometry

POSCAR file:
```
Zn3Ga3Ir2Rh
1.0
7.202 0.000 0.000
-3.601 6.237 0.000
0.000 0.000 2.994
Zn Ga Ir Rh
3 3 2 1
Direct
0.000 0.384 0.000
0.384 0.000 0.000
0.616 0.616 0.000
0.000 0.712 0.500
0.288 0.288 0.500
0.712 0.000 0.500
0.333 0.667 0.500
0.667 0.333 0.500
0.000 0.000 0.000
```

## Properties
* crystal system: hexagonal

=====

Calculated uncorrected energy (eV per atom), listed in the same order as above: -6.219, -6.076, -7.460, -5.913, -6.503, -4.548